A geometry-optimized Tb5Tl structure. Source: Alexandria, functional PBE.

```
Tb5Tl
1.0
4.946 0.000 0.000
-2.473 5.493 -1.350
0.000 -0.934 6.915
Tb Tl
5 1
Direct
0.008 0.015 0.060
0.695 0.389 0.389
0.381 0.763 0.718
0.346 0.693 0.208
0.042 0.085 0.569
0.694 0.389 0.889
```

total moment = 0.00 Bohr magnetons per cell
ΔE to the lowest computed polymorph = 30 meV per atom
SG = No. 12
formation enthalpy at 0 K = -0.077 eV/atom

=====

A geometry-optimized K2RbAg structure. Source: Alexandria, functional PBE.

```
K2RbAg
1.0
6.105 0.000 0.000
0.000 5.738 0.000
0.000 0.000 5.738
K Rb Ag
2 1 1
Direct
0.000 0.000 0.500
0.000 0.500 0.000
0.500 0.500 0.500
0.500 0.000 0.000
```

total moment = 0.00 Bohr magnetons per cell
ΔE to the lowest computed polymorph = 81 meV per atom
SG = No. 123
formation enthalpy at 0 K = 0.115 eV/atom

=====

A geometry-optimized PmTcCl structure. Source: Alexandria, functional PBE.

```
PmTcCl
1.0
4.030 0.000 0.727
1.949 3.527 0.727
-0.017 -0.010 11.625
Pm Tc Cl
2 2 2
Direct
0.434 0.434 0.698
0.566 0.566 0.302
0.161 0.161 0.518
0.839 0.839 0.482
0.718 0.718 0.847
0.282 0.282 0.153
```

energy relative to the elements, uncorrected = -1055 meV per atom
total moment = 0.00 Bohr magnetons per cell
SG = No. 166

=====

A geometry-optimized ReOs2W structure. Source: Alexandria, functional PBE.

```
ReOs2W
1.0
2.728 0.479 0.000
-0.478 2.728 0.000
0.000 0.000 7.794
Os Re W
2 1 1
Direct
0.000 0.000 0.005
0.000 0.000 0.495
0.500 0.500 0.250
0.500 0.500 0.750
```

total moment = 0.00 Bohr magnetons per cell
ΔE to the lowest computed polymorph = 68 meV per atom
SG = No. 123
formation enthalpy at 0 K = 0.056 eV/atom

=====

A geometry-optimized CeZr2Pa structure. Source: Alexandria, functional PBE.

```
CeZr2Pa
1.0
-4.696 -1.595 1.604
-1.480 -4.938 -0.773
-0.403 -3.264 4.045
Pa Zr Ce
1 2 1
Direct
0.000 0.000 0.000
0.250 0.250 0.250
0.750 0.750 0.750
0.500 0.500 0.500
```

total moment = 0.21 Bohr magnetons per cell
ΔE to the lowest computed polymorph = 232 meV per atom
SG = No. 225
formation enthalpy at 0 K = 0.288 eV/atom

=====

A geometry-optimized ScPIr2 structure. Source: Alexandria, functional PBE.

```
ScPIr2
1.0
1.516 4.936 -0.008
-1.516 4.936 -0.008
0.000 2.173 4.161
Sc P Ir
1 1 2
Direct
0.221 0.221 0.244
0.484 0.484 0.611
0.005 0.005 0.971
0.789 0.789 0.674
```

total moment = 0.00 Bohr magnetons per cell
SG = No. 8
formation enthalpy at 0 K = -0.616 eV/atom